[1]
TlCo2Os after structural relaxation, computed with GGA-PBEsol.

Geometry as POSCAR:
```
TlCo2Os
1.0
2.8879 0.0000 0.0000
0.0000 2.8879 0.0000
0.0000 0.0000 6.7163
Tl Co Os
1 2 1
Direct
0.0000 0.0000 0.0000
0.0000 0.0000 0.4713
0.5000 0.5000 0.2788
0.5000 0.5000 0.6781
```

Values from the calculation:
- formation energy from the elements (eV/atom) = 0.58
- total moment (μB per formula unit) = 2.65

=====

[2]
TlCoOs after structural relaxation, computed with GGA-PBEsol.

Geometry as POSCAR:
```
TlCoOs
1.0
0.0000 2.9228 2.9228
2.9228 0.0000 2.9228
2.9228 2.9228 0.0000
Tl Co Os
1 1 1
Direct
0.0000 0.0000 0.0000
0.7500 0.7500 0.7500
0.5000 0.5000 0.5000
```

Values from the calculation:
- formation energy from the elements (eV/atom) = 0.89
- total moment (μB per formula unit) = 2.00

=====

[3]
Tl2CoOs after structural relaxation, computed with GGA-PBEsol.

Geometry as POSCAR:
```
Tl2CoOs
1.0
-1.5666 2.5209 4.3293
1.5666 -2.5209 4.3293
1.5666 2.5209 -4.3293
Tl Co Os
2 1 1
Direct
0.2348 0.2348 0.0000
0.7652 0.7652 0.0000
0.0000 0.5000 0.5000
0.5000 0.0000 0.5000
```

Values from the calculation:
- formation energy from the elements (eV/atom) = 0.97
- total moment (μB per formula unit) = 0.71

=====

[4]
TlCoOs2 after structural relaxation, computed with GGA-PBEsol.

Geometry as POSCAR:
```
TlCoOs2
1.0
1.3960 0.8060 8.8942
-1.3960 0.8060 8.8942
0.0000 -1.6120 8.8942
Tl Co Os
1 1 2
Direct
0.0000 0.0000 0.0000
0.5000 0.5000 0.5000
0.2393 0.2393 0.2393
0.7607 0.7607 0.7607
```

Values from the calculation:
- formation energy from the elements (eV/atom) = 0.79
- total moment (μB per formula unit) = 1.30

=====

[5]
TlCoOs2 after structural relaxation, computed with GGA-PBEsol.

Geometry as POSCAR:
```
TlCoOs2
1.0
2.9242 0.0000 0.0000
0.0000 2.9242 0.0000
0.0000 0.0000 6.9640
Tl Co Os
1 1 2
Direct
0.0000 0.0000 0.0000
0.0000 0.0000 0.5000
0.5000 0.5000 0.3043
0.5000 0.5000 0.6957
```

Values from the calculation:
- formation energy from the elements (eV/atom) = 0.75
- total moment (μB per formula unit) = 0.60

=====

[6]
TlCoOs2 after structural relaxation, computed with GGA-PBEsol.

Geometry as POSCAR:
```
TlCoOs2
1.0
2.8099 0.0000 0.0000
0.0000 2.8099 0.0000
0.0000 0.0000 7.5169
Tl Co Os
1 1 2
Direct
0.0000 0.0000 0.0000
0.5000 0.5000 0.2579
0.0000 0.0000 0.4767
0.5000 0.5000 0.7030
```

Values from the calculation:
- formation energy from the elements (eV/atom) = 0.51
- total moment (μB per formula unit) = 0.81

=====

- Among the records above, which one has the highest total moment?
  TlCo2Os

=====

- Among the records above, which one has the lowest total moment?
  number 5

=====

- What is the formula in the fifth record?
  TlCoOs2

=====

- The lowest formation energy from the elements belongs to which entry?
  number 6